## YHo2MgHg4 (PBE)

Data for a relaxed structure of YHo2MgHg4.

- ΔH_f (0 K) (eV per formula unit) = -3.77

Cell and atoms, written as CIF:
```
data_YHo2MgHg4
_cell_length_a 5.1443
_cell_length_b 5.1443
_cell_length_c 25.5993
_cell_angle_alpha 90.00
_cell_angle_beta 90.00
_cell_angle_gamma 120.00
_space_group_name_H-M_alt 'R -3 m'
_space_group_IT_number 166
_space_group_name_Hall '-R 3 2"'
loop_
_atom_site_label
_atom_site_type_symbol
_atom_site_fract_x
_atom_site_fract_y
_atom_site_fract_z
Y1 Y 0.0000 0.0000 0.0000
Ho1 Ho 0.0000 0.0000 0.2455
Mg1 Mg 0.0000 0.0000 0.5000
Hg1 Hg 0.0000 0.0000 0.1250
Hg2 Hg 0.0000 0.0000 0.3743
```

## CaTaP2N6 (PBE)

Data for a relaxed structure of CaTaP2N6.

- formation energy without anion corrections (eV/atom) = -0.61

Cell and atoms, written as CIF:
```
data_CaTaP2N6
_cell_length_a 10.151
_cell_length_b 9.603
_cell_length_c 5.513
_cell_angle_alpha 90.00
_cell_angle_beta 110.39
_cell_angle_gamma 90.00
_space_group_name_H-M_alt 'C 1 2/c 1'
_space_group_IT_number 15
_space_group_name_Hall '-C 2yc'
loop_
_atom_site_label
_atom_site_type_symbol
_atom_site_fract_x
_atom_site_fract_y
_atom_site_fract_z
Ca1 Ca 0.000 0.099 0.250
Ta1 Ta 0.000 0.264 0.750
P1 P 0.203 0.423 0.158
N1 N 0.096 0.295 0.131
N2 N 0.132 0.117 0.712
N3 N 0.161 0.454 0.835
```

## CeTmTh (PBE)

Data for a relaxed structure of CeTmTh.

- ΔH_f (0 K) (eV per formula unit) = 0.20
- energy above the most stable polymorph in this dataset (kJ/mol of atoms) = 4.3

Cell and atoms, written as CIF:
```
data_CeTmTh
_cell_length_a 4.921
_cell_length_b 3.522
_cell_length_c 10.537
_cell_angle_alpha 90.00
_cell_angle_beta 90.10
_cell_angle_gamma 90.00
_space_group_name_H-M_alt 'P 1 21/m 1'
_space_group_IT_number 11
_space_group_name_Hall '-P 2yb'
loop_
_atom_site_label
_atom_site_type_symbol
_atom_site_fract_x
_atom_site_fract_y
_atom_site_fract_z
Ce1 Ce 0.250 0.250 0.079
Tm1 Tm 0.250 0.250 0.752
Th1 Th 0.250 0.250 0.416
```

## InAsCl2 (PBE)

Data for a relaxed structure of InAsCl2.

- formation energy without anion corrections (eV/atom) = -0.29
- energy above the most stable polymorph in this dataset (kJ/mol of atoms) = 18.6

Cell and atoms, written as CIF:
```
data_InAsCl2
_cell_length_a 3.4640
_cell_length_b 3.4640
_cell_length_c 28.8753
_cell_angle_alpha 90.00
_cell_angle_beta 90.00
_cell_angle_gamma 120.00
_space_group_name_H-M_alt 'R -3 m'
_space_group_IT_number 166
_space_group_name_Hall '-R 3 2"'
loop_
_atom_site_label
_atom_site_type_symbol
_atom_site_fract_x
_atom_site_fract_y
_atom_site_fract_z
In1 In 0.0000 0.0000 0.0000
As1 As 0.0000 0.0000 0.5000
Cl1 Cl 0.0000 0.0000 0.4156
```

## MgReAu2 (PBE)

Data for a relaxed structure of MgReAu2.

- ΔH_f (0 K) (eV per formula unit) = 1.81

Cell and atoms, written as CIF:
```
data_MgReAu2
_cell_length_a 6.507
_cell_length_b 6.507
_cell_length_c 6.507
_cell_angle_alpha 90.00
_cell_angle_beta 90.00
_cell_angle_gamma 90.00
_space_group_name_H-M_alt 'F -4 3 m'
_space_group_IT_number 216
_space_group_name_Hall 'F -4 2 3'
loop_
_atom_site_label
_atom_site_type_symbol
_atom_site_fract_x
_atom_site_fract_y
_atom_site_fract_z
Mg1 Mg 0.000 0.000 0.000
Re1 Re 0.250 0.250 0.250
Au1 Au 0.000 0.000 0.500
Au2 Au 0.250 0.250 0.750
```

## LaTaW2 (PBE)

Data for a relaxed structure of LaTaW2.

- ΔH_f (0 K) (eV per formula unit) = 1.70
- energy above the most stable polymorph in this dataset (kJ/mol of atoms) = 4.4

Cell and atoms, written as CIF:
```
data_LaTaW2
_cell_length_a 3.231
_cell_length_b 4.855
_cell_length_c 9.916
_cell_angle_alpha 90.00
_cell_angle_beta 90.00
_cell_angle_gamma 90.00
_space_group_name_H-M_alt 'C m m m'
_space_group_IT_number 65
_space_group_name_Hall '-C 2 2'
loop_
_atom_site_label
_atom_site_type_symbol
_atom_site_fract_x
_atom_site_fract_y
_atom_site_fract_z
La1 La 0.000 0.000 0.000
Ta1 Ta 0.000 0.000 0.500
W1 W 0.000 0.500 0.279
```

## Sm2ThP3 (PBE)

Data for a relaxed structure of Sm2ThP3.

- ΔH_f (0 K) (eV per formula unit) = -8.15
- energy above the most stable polymorph in this dataset (kJ/mol of atoms) = 22.4

Cell and atoms, written as CIF:
```
data_Sm2ThP3
_cell_length_a 15.898
_cell_length_b 4.082
_cell_length_c 10.023
_cell_angle_alpha 90.00
_cell_angle_beta 108.95
_cell_angle_gamma 90.00
_space_group_name_H-M_alt 'C 1 2/m 1'
_space_group_IT_number 12
_space_group_name_Hall '-C 2y'
loop_
_atom_site_label
_atom_site_type_symbol
_atom_site_fract_x
_atom_site_fract_y
_atom_site_fract_z
Sm1 Sm 0.169 0.000 0.335
Sm2 Sm 0.170 0.500 0.836
Th1 Th 0.000 0.000 0.500
Th2 Th 0.000 0.500 0.000
P1 P 0.028 0.000 0.806
P2 P 0.137 0.500 0.527
P3 P 0.193 0.500 0.139
```

## NiSb2Pt (PBE)

Data for a relaxed structure of NiSb2Pt.

- formation energy without anion corrections (eV/atom) = 0.02
- energy above the most stable polymorph in this dataset (kJ/mol of atoms) = 24.1

Cell and atoms, written as CIF:
```
data_NiSb2Pt
_cell_length_a 6.704
_cell_length_b 6.704
_cell_length_c 6.704
_cell_angle_alpha 90.00
_cell_angle_beta 90.00
_cell_angle_gamma 90.00
_space_group_name_H-M_alt 'F m -3 m'
_space_group_IT_number 225
_space_group_name_Hall '-F 4 2 3'
loop_
_atom_site_label
_atom_site_type_symbol
_atom_site_fract_x
_atom_site_fract_y
_atom_site_fract_z
Ni1 Ni 0.000 0.000 0.000
Sb1 Sb 0.250 0.250 0.250
Pt1 Pt 0.000 0.000 0.500
```